Density functional theory data (PBE-GGA) for a relaxed InTeRu2 crystal.

Computed properties:
Size of the total moment, μB/f.u.: 0.0
Calculated density, Mg/m³: 10.397
Formation energy (no corrections), meV/atom: 211
Energy relative to the lowest polymorph listed for this composition, meV/atom: 44.0
Space group: Cm, No. 8
Calculated total energy, eV/f.u.: -23.6

```
data_InTeRu2
_chemical_formula_sum 'In1 Te1 Ru2'
_cell_length_a 5.1739
_cell_length_b 5.1739
_cell_length_c 4.5727
_cell_angle_alpha 78.19
_cell_angle_beta 78.19
_cell_angle_gamma 36.44
_symmetry_space_group_name_H-M 'P 1'
_symmetry_Int_Tables_number 1
loop_
_symmetry_equiv_pos_as_xyz
'x,y,z'
loop_
_atom_site_label
_atom_site_fract_x
_atom_site_fract_y
_atom_site_fract_z
_atom_site_occupancy
Ru1 0.9871 0.9871 0.0795 1
In1 0.2504 0.2504 0.1744 1
Te1 0.4953 0.4953 0.5756 1
Ru2 0.7672 0.7672 0.6706 1
```